Computed, not measured: crystalline KInH8S2O12 at its relaxed geometry at the GGA-PBE level of DFT.

```
KInH8S2O12
1.0
-8.680 1.892 -6.309
1.596 -7.879 -4.559
-5.692 -7.059 5.714
K In H S O
4 4 32 8 48
Direct
0.451 0.781 0.822
0.951 0.219 0.178
0.940 0.719 0.177
0.440 0.281 0.823
0.329 0.655 0.211
0.829 0.345 0.789
0.063 0.845 0.789
0.563 0.155 0.211
0.807 0.715 0.415
0.307 0.285 0.585
0.171 0.427 0.331
0.671 0.573 0.669
0.990 0.949 0.398
0.490 0.051 0.602
0.170 0.552 0.414
0.670 0.448 0.586
0.085 0.214 0.415
0.585 0.786 0.585
0.375 0.354 0.093
0.875 0.646 0.907
0.210 0.176 0.359
0.710 0.824 0.641
0.516 0.854 0.092
0.016 0.146 0.908
0.109 0.930 0.326
0.609 0.070 0.674
0.221 0.947 0.586
0.721 0.053 0.414
0.566 0.687 0.105
0.066 0.313 0.895
0.721 0.927 0.331
0.221 0.073 0.669
0.325 0.187 0.105
0.825 0.813 0.895
0.283 0.569 0.674
0.783 0.431 0.326
0.682 0.676 0.360
0.182 0.324 0.640
0.401 0.551 0.602
0.901 0.449 0.398
0.382 0.897 0.395
0.882 0.103 0.605
0.509 0.397 0.395
0.009 0.603 0.605
0.211 0.969 0.025
0.711 0.031 0.975
0.680 0.469 0.025
0.180 0.531 0.975
0.265 0.969 0.419
0.765 0.031 0.581
0.470 0.896 0.500
0.970 0.104 0.500
0.745 0.754 0.349
0.245 0.246 0.651
0.456 0.474 0.269
0.956 0.526 0.731
0.325 0.975 0.952
0.825 0.025 0.048
0.067 0.525 0.048
0.567 0.475 0.952
0.215 0.961 0.676
0.715 0.039 0.324
0.490 0.750 0.099
0.990 0.250 0.901
0.147 0.254 0.349
0.647 0.746 0.651
0.401 0.250 0.100
0.901 0.750 0.900
0.019 0.928 0.317
0.519 0.072 0.683
0.099 0.971 0.939
0.599 0.029 0.061
0.695 0.593 0.091
0.195 0.407 0.909
0.197 0.093 0.091
0.697 0.907 0.909
0.435 0.974 0.269
0.935 0.026 0.731
0.422 0.396 0.500
0.922 0.604 0.500
0.177 0.538 0.325
0.677 0.462 0.675
0.372 0.572 0.683
0.872 0.428 0.317
0.126 0.531 0.581
0.626 0.469 0.419
0.292 0.528 0.061
0.792 0.472 0.939
0.358 0.740 0.382
0.858 0.260 0.618
0.191 0.676 0.877
0.691 0.324 0.123
0.033 0.760 0.618
0.533 0.240 0.382
0.201 0.824 0.123
0.701 0.176 0.877
```

Computed properties:
- N(E_F): 0.00 states/eV per atom
- Raw total energy: -130.10 eV per formula unit

Computed, not measured: crystalline HfTcNi at its relaxed geometry at the GGA-PBE level of DFT.

```
HfTcNi
1.0
-2.910 -1.203 -0.558
0.500 -2.241 2.225
-3.472 5.477 6.296
Hf Tc Ni
2 2 2
Direct
0.000 0.500 0.276
0.500 0.000 0.724
0.000 0.500 0.920
0.500 0.000 0.080
0.000 0.500 0.576
0.500 0.000 0.424
```

Computed properties:
- N(E_F): 0.60 states/eV per atom
- Formation energy from the elements: -0.3456 eV per atom
- ΔE to the lowest computed polymorph: 0 meV per atom